Here is crystalline Hg2PtCl8 at its relaxed geometry from Alexandria via LeMat-Bulk. Energies are from GGA-PBE.

```
Hg2PtCl8
1.0
-1.845 -1.035 -6.456
-1.799 -4.466 4.805
-5.664 10.777 -0.109
Hg Pt Cl
2 1 8
direct
0.882 0.764 0.574
0.118 0.236 0.426
0.000 0.000 0.000
0.832 0.132 0.154
0.301 0.132 0.154
0.168 0.868 0.846
0.352 0.703 0.531
0.699 0.868 0.846
0.884 0.768 0.314
0.116 0.232 0.686
0.648 0.297 0.469
```

Properties
Formation energy without anion corrections (meV per atom): -392
Magnetization (μB/atom): 0.1881